No. 1
First-principles (GGA-PBEsol) data for a geometry-optimized BaCaAlF7 structure, as listed in the Alexandria database.

Computed properties:
Volume: 134 Å³/f.u.
VASP energy: -6.017 eV per atom
Symmetry: P2/c (13)
Fermi-level density of states: 0.0000 states/eV/atom
Total magnetic moment: 0.03 μB/f.u.

Unit cell a=5.338 b=5.358 c=19.298 alpha=90.00 beta=103.76 gamma=90.00
Positions (direct):
Ba: 0.182 0.240 0.433
Ba: 0.182 0.760 0.933
Ba: 0.818 0.240 0.067
Ba: 0.818 0.760 0.567
Ca: 0.000 0.321 0.750
Ca: 0.000 0.679 0.250
Ca: 0.500 0.206 0.250
Ca: 0.500 0.794 0.750
Al: 0.319 0.226 0.619
Al: 0.319 0.774 0.119
Al: 0.681 0.226 0.881
Al: 0.681 0.774 0.381
F: 0.003 0.282 0.560
F: 0.003 0.718 0.060
F: 0.157 0.029 0.675
F: 0.157 0.971 0.175
F: 0.225 0.363 0.308
F: 0.225 0.637 0.808
F: 0.260 0.485 0.674
F: 0.260 0.515 0.174
F: 0.341 0.048 0.065
F: 0.341 0.952 0.565
F: 0.383 0.137 0.818
F: 0.383 0.863 0.318
F: 0.466 0.408 0.564
F: 0.466 0.592 0.064
F: 0.534 0.408 0.936
F: 0.534 0.592 0.436
F: 0.617 0.137 0.682
F: 0.617 0.863 0.182
F: 0.659 0.048 0.435
F: 0.659 0.952 0.935
F: 0.740 0.485 0.826
F: 0.740 0.515 0.326
F: 0.775 0.363 0.192
F: 0.775 0.637 0.692
F: 0.843 0.029 0.825
F: 0.843 0.971 0.325
F: 0.997 0.282 0.940
F: 0.997 0.718 0.440

No. 2
First-principles (GGA-PBEsol) data for a geometry-optimized Ba2AlCd structure, as listed in the Alexandria database.

Computed properties:
Volume: 135 Å³/f.u.
VASP energy: -2.560 eV per atom
Symmetry: Pmm2 (25)
Fermi-level density of states: 0.6671 states/eV/atom
Total magnetic moment: 0.00 μB/f.u.
E_form: -0.16 eV/atom

Unit cell a=3.936 b=5.624 c=6.082 alpha=90.00 beta=90.00 gamma=90.00
Positions (direct):
Ba: 0.000 0.000 0.000
Ba: 0.000 0.500 0.408
Al: 0.500 0.000 0.530
Cd: 0.500 0.500 0.872

No. 3
First-principles (GGA-PBEsol) data for a geometry-optimized Ba2AlCd structure, as listed in the Alexandria database.

Computed properties:
Volume: 139 Å³/f.u.
VASP energy: -2.560 eV per atom
Symmetry: P4/mmm (123)
Fermi-level density of states: 0.6659 states/eV/atom
Total magnetic moment: 0.00 μB/f.u.
E_form: -0.16 eV/atom

Unit cell a=4.089 b=4.089 c=8.295 alpha=90.00 beta=90.00 gamma=90.00
Positions (direct):
Ba: 0.000 0.000 0.242
Ba: 0.000 0.000 0.758
Al: 0.500 0.500 0.000
Cd: 0.500 0.500 0.500

No. 4
First-principles (GGA-PBEsol) data for a geometry-optimized Ba2AlCd structure, as listed in the Alexandria database.

Computed properties:
Volume: 133 Å³/f.u.
VASP energy: -2.573 eV per atom
Symmetry: Imm2 (44)
Fermi-level density of states: 0.7853 states/eV/atom
Total magnetic moment: 0.00 μB/f.u.
E_form: -0.18 eV/atom

Unit cell a=6.683 b=6.683 c=6.683 alpha=144.47 beta=129.04 gamma=63.66
Positions (direct):
Ba: 0.000 0.000 0.000
Ba: 0.688 0.188 0.500
Al: 0.429 0.429 0.000
Cd: 0.267 0.767 0.500

No. 5
First-principles (GGA-PBEsol) data for a geometry-optimized BaAl2Cl8 structure, as listed in the Alexandria database.

Computed properties:
Volume: 350 Å³/f.u.
VASP energy: -4.214 eV per atom
Symmetry: P2/c (13)
Fermi-level density of states: 0.0000 states/eV/atom
Total magnetic moment: 0.00 μB/f.u.

Unit cell a=8.128 b=7.063 c=12.408 alpha=90.00 beta=100.83 gamma=90.00
Positions (direct):
Ba: 0.000 0.151 0.250
Ba: 0.000 0.849 0.750
Al: 0.198 0.271 0.941
Al: 0.198 0.729 0.441
Al: 0.802 0.271 0.559
Al: 0.802 0.729 0.059
Cl: 0.064 0.203 0.603
Cl: 0.064 0.797 0.103
Cl: 0.250 0.456 0.378
Cl: 0.250 0.544 0.878
Cl: 0.275 0.277 0.116
Cl: 0.275 0.723 0.616
Cl: 0.329 0.053 0.870
Cl: 0.329 0.947 0.370
Cl: 0.671 0.053 0.630
Cl: 0.671 0.947 0.130
Cl: 0.725 0.277 0.384
Cl: 0.725 0.723 0.884
Cl: 0.750 0.456 0.122
Cl: 0.750 0.544 0.622
Cl: 0.936 0.203 0.897
Cl: 0.936 0.797 0.397

No. 6
First-principles (GGA-PBEsol) data for a geometry-optimized Ba2AlCl structure, as listed in the Alexandria database.

Computed properties:
Volume: 128 Å³/f.u.
VASP energy: -2.827 eV per atom
Symmetry: F-43m (216)
Fermi-level density of states: 1.5256 states/eV/atom
Energy above the lowest structure with this stoichiometry: 436 meV per atom
Total magnetic moment: 0.00 μB/f.u.

Unit cell a=5.660 b=5.660 c=5.660 alpha=60.00 beta=60.00 gamma=60.00
Positions (direct):
Ba: 0.000 0.000 0.000
Ba: 0.250 0.250 0.250
Al: 0.500 0.500 0.500
Cl: 0.750 0.750 0.750